Li2Mg2Pd: relaxed, PBE-GGA. Values from VASP.

Cell and atoms, written as Quantum ESPRESSO input:
```
&SYSTEM
  ibrav = 0, nat = 10, ntyp = 3
/
ATOMIC_SPECIES
Li 6.94 Li.upf
Pd 106.42 Pd.upf
Mg 24.30 Mg.upf
CELL_PARAMETERS angstrom
6.465 0.000 0.000
0.000 6.465 0.000
0.000 0.000 4.112
ATOMIC_POSITIONS crystal
Li 0.131 0.369 0.000
Li 0.369 0.869 0.000
Li 0.869 0.631 0.000
Li 0.631 0.131 0.000
Pd 0.000 0.000 0.000
Pd 0.500 0.500 0.000
Mg 0.815 0.315 0.500
Mg 0.685 0.815 0.500
Mg 0.315 0.185 0.500
Mg 0.185 0.685 0.500
```

Results
crystal system = tetragonal
polymorph energy (0 for the lowest one) = 0.184 eV/atom
formation enthalpy at 0 K = -171 meV per atom
symmetry = P4/mbm, No. 127
magnetic moment = 0.00 μB/atom